# 1
! ScInTc, relaxed, DFT PBE; values from VASP
! Energy of formation (eV per atom): 0.063
&SYSTEM
  ibrav = 0, nat = 3, ntyp = 3
/
ATOMIC_SPECIES
In 114.82 In.upf
Tc 98.00 Tc.upf
Sc 44.96 Sc.upf
CELL_PARAMETERS angstrom
-3.077 -0.954 0.200
1.817 0.160 2.663
-1.890 6.288 0.910
ATOMIC_POSITIONS angstrom
In -1.843 6.133 0.888
Tc -1.054 3.914 2.439
Sc -2.143 1.736 1.357

***

# 2
! Zn2FeMo, relaxed, DFT PBE; values from VASP
! Energy of formation (eV per atom): 0.150
&SYSTEM
  ibrav = 0, nat = 4, ntyp = 3
/
ATOMIC_SPECIES
Fe 55.84 Fe.upf
Zn 65.41 Zn.upf
Mo 95.94 Mo.upf
CELL_PARAMETERS angstrom
4.567 -0.014 0.006
3.820 2.504 0.006
0.558 0.166 4.849
ATOMIC_POSITIONS angstrom
Fe 4.427 1.314 2.338
Zn 0.563 0.167 4.766
Mo 2.245 0.666 1.328
Zn 6.740 2.001 3.708

***

# 3
! NiAgPt, relaxed, DFT PBE; values from VASP
! Energy of formation (eV per atom): 0.075
&SYSTEM
  ibrav = 0, nat = 12, ntyp = 3
/
ATOMIC_SPECIES
Ni 58.69 Ni.upf
Pt 195.08 Pt.upf
Ag 107.87 Ag.upf
CELL_PARAMETERS angstrom
4.638 0.000 -0.008
0.000 2.760 0.000
-1.634 0.000 13.881
ATOMIC_POSITIONS angstrom
Ni 2.723 1.380 13.859
Pt 0.423 0.000 13.493
Pt 1.240 1.380 6.552
Ni 1.387 1.380 1.758
Ni 3.541 0.000 6.918
Ag 3.671 0.000 2.153
Ni 0.570 0.000 8.699
Pt 1.309 0.000 3.970
Pt 0.492 1.380 10.911
Ag 2.804 0.000 11.628
Ag 3.621 1.380 4.687
Ag 2.854 1.380 9.094

***

# 4
! Cs2Sb2Se, relaxed, DFT PBE; values from VASP
! Raw formation energy (eV/atom): -0.47
&SYSTEM
  ibrav = 0, nat = 5, ntyp = 3
/
ATOMIC_SPECIES
Sb 121.76 Sb.upf
Cs 132.91 Cs.upf
Se 78.96 Se.upf
CELL_PARAMETERS angstrom
4.284 0.000 0.000
0.000 4.284 0.000
2.142 2.142 11.604
ATOMIC_POSITIONS angstrom
Sb 4.284 2.142 5.802
Cs 4.284 4.284 9.568
Sb 2.142 4.284 5.802
Se 0.000 0.000 0.000
Cs 2.142 2.142 2.036

***

| no. | total moment (μB per atom) |
| --- | --- |
| 1 | 0.000 |
| 2 | 0.451 |
| 3 | 0.217 |
| 4 | 0.110 |